This record from Alexandria via LeMat-Bulk describes an optimized crystal structure of FeTeI2N. The functional is PBE.

Unit cell a=5.597 b=5.597 c=3.536 alpha=90.00 beta=90.00 gamma=90.00
Last column: magnetic moment on the atom in μB.
Fractional coordinates of all 5 atoms:
N: 0.000 0.000 0.500  -0.09
Te: 0.500 0.500 0.500  0.00
Fe: 0.000 0.000 0.000  0.46
I: 0.000 0.500 0.000  0.00
I: 0.500 0.000 0.000  0.00

magnetization = 0.4 Bohr magnetons per cell
calculated total energy = -4.083 eV/atom
crystal system = tetragonal
formation energy (no corrections) = 523.2 meV/atom